Below is crystalline TaOsPd3 at its relaxed geometry, with properties calculated at the PBE-GGA level.

Cell lengths 4.7304, 4.7304, 4.7304 Å; angles 90.00, 90.00, 90.00 degrees
Last column: nearest neighbours and their distance in Å.
Space group Pm-3m (No. 221)
Inequivalent atoms, fractional coordinates:
Ta: 0.0000 0.0000 0.0000 [1 per cell]  6 Pd 2.37
Os: 0.5000 0.5000 0.5000 [1 per cell]  12 Pd 3.34
Pd: 0.0000 0.0000 0.5000 [3 per cell]  2 Ta 2.37

The distance to the lowest polymorph of the same formula is 0.00 eV per formula unit. The total energy comes out at -30.22 eV/f.u.